{"formula": "Li2BePt", "functional": "GGA-PBEsol", "state": "relaxed", "lattice_angstrom": [[3.363, 0.000, 0.000], [0.000, 3.363, 0.000], [0.000, 0.000, 4.160]], "species": ["Li", "Li", "Be", "Pt"], "fractional_positions": [[0.000, 0.500, 0.000], [0.500, 0.000, 0.000], [0.000, 0.000, 0.500], [0.500, 0.500, 0.500]], "formation_energy_ev_per_atom": -0.3536, "magnetic_moment_mub_per_atom": 0.000, "spacegroup": "P4/mmm (123)", "final_energy_ev_per_atom": -4.08, "vol_a3_per_atom": 11.76}